# 1
Computed, not measured: a geometry-optimized ScBiPtO6 structure at the PBE level of DFT.

Cell lengths 4.8405, 4.8405, 9.8460 Å; angles 90.00, 90.00, 90.00 degrees
Last column: nearest neighbours and their distance in Å.
Space group P4_2nm (No. 102)
Inequivalent atoms, fractional coordinates:
Sc: 0.0000 0.0000 0.0000 x2  6 O 2.10-2.12
Bi: 0.0000 0.0000 0.3318 x2  6 O 2.17-2.20
Pt: 0.0000 0.0000 0.6660 x2  6 O 2.01-2.03
O: 0.1824 0.1824 0.8289 x4  1 Pt 2.03, 1 Sc 2.10, 1 Bi 2.17
O: 0.1905 0.1905 0.5113 x4  1 Pt 2.01, 1 Sc 2.12, 1 Bi 2.20
O: 0.2044 0.2044 0.1610 x4  1 Pt 2.02, 1 Sc 2.11, 1 Bi 2.19

Summary:
Formation energy without anion corrections, meV per atom: -1454


# 2
Computed, not measured: a geometry-optimized YNbZn2O structure at the PBE level of DFT.

Cell lengths 5.5443, 5.5443, 4.0530 Å; angles 90.00, 90.00, 90.00 degrees
Last column: nearest neighbours and their distance in Å.
Space group P4/mmm (No. 123)
Inequivalent atoms, fractional coordinates:
Y: 0.0000 0.0000 0.0000 x1  2 O 2.03
Nb: 0.5000 0.5000 0.5000 x1  8 Zn 3.43
Zn: 0.0000 0.5000 0.0000 x2  2 Y 2.77
O: 0.0000 0.0000 0.5000 x1  2 Y 2.03

Summary:
Formation energy without anion corrections, meV per atom: 313


# 3
Computed, not measured: a geometry-optimized CeHoP structure at the PBE level of DFT.

Cell lengths 6.7214, 6.7214, 6.7214 Å; angles 90.00, 90.00, 90.00 degrees
Last column: nearest neighbours and their distance in Å.
Space group F-43m (No. 216)
Inequivalent atoms, fractional coordinates:
Ce: 0.0000 0.0000 0.0000 x4  4 P 2.91
Ho: 0.0000 0.0000 0.5000 x4  4 P 2.91
P: 0.2500 0.2500 0.2500 x4  4 Ce 2.91, 4 Ho 2.91

Summary:
ΔE_f, eV/atom: -0.737


# 4
Computed, not measured: a geometry-optimized LuScGaPt structure at the PBE level of DFT.

Cell lengths 6.8025, 6.8025, 6.8025 Å; angles 90.00, 90.00, 90.00 degrees
Last column: nearest neighbours and their distance in Å.
Space group F-43m (No. 216)
Inequivalent atoms, fractional coordinates:
Lu: 0.0000 0.0000 0.0000 x4  4 Pt 2.95, 4 Ga 2.95
Sc: 0.0000 0.0000 0.5000 x4  4 Ga 2.95, 4 Pt 2.95
Ga: 0.2500 0.2500 0.2500 x4  4 Lu 2.95, 4 Sc 2.95
Pt: 0.2500 0.2500 0.7500 x4  4 Sc 2.95, 4 Lu 2.95

Summary:
ΔE_f, eV/atom: -0.903


# 5
Computed, not measured: a geometry-optimized Ac2Pr4NdDy2 structure at the PBE level of DFT.

Cell lengths 17.7474, 3.7225, 10.2091 Å; angles 90.00, 99.21, 90.00 degrees
Last column: nearest neighbours and their distance in Å.
Space group C2/m (No. 12)
Inequivalent atoms, fractional coordinates:
Ac: 0.1631 0.0000 0.0849 x4  7 Pr 3.72-3.95, 2 Ac 3.72, 2 Dy 3.90
Pr: 0.0114 0.5000 0.8217 x4  5 Pr 3.65-3.73, 1 Dy 3.69, 2 Nd 3.75, 4 Ac 3.86-3.95
Pr: 0.1699 0.0000 0.7227 x4  3 Dy 3.46-3.59, 1 Nd 3.47, 4 Pr 3.65-3.72, 3 Ac 3.72-3.77
Nd: 0.0000 0.0000 0.5000 x2  6 Pr 3.47-3.75, 4 Dy 3.68, 2 Nd 3.72
Dy: 0.1662 0.5000 0.4215 x4  4 Pr 3.46-3.69, 4 Dy 3.65-3.72, 2 Nd 3.68

Summary:
ΔE_f, eV/atom: 0.023


# 6
Computed, not measured: a geometry-optimized TlPtF6 structure at the PBE level of DFT.

Cell lengths 6.4557, 7.6252, 4.9875 Å; angles 90.00, 104.17, 90.00 degrees
Last column: nearest neighbours and their distance in Å.
Space group C2/m (No. 12)
Inequivalent atoms, fractional coordinates:
Tl: 0.0000 0.0000 0.0000 x2  12 F 2.77-2.89
Pt: 0.0000 0.5000 0.5000 x2  6 F 1.95
F: 0.1169 0.3285 0.7878 x8  1 Pt 1.95
F: 0.2116 0.0000 0.5577 x4  1 Pt 1.95

Summary:
Formation energy without anion corrections, meV per atom: -1501


# 7
Computed, not measured: a geometry-optimized SmErZnPd structure at the PBE level of DFT.

Cell lengths 3.5765, 3.5765, 7.0415 Å; angles 90.00, 90.00, 90.00 degrees
Last column: nearest neighbours and their distance in Å.
Space group P4mm (No. 99)
Inequivalent atoms, fractional coordinates:
Sm: 0.0000 0.0000 0.0000 x1  4 Pd 3.15, 4 Zn 3.15, 1 Er 3.45
Er: 0.0000 0.0000 0.4904 x1  4 Pd 2.98, 4 Zn 3.05
Zn: 0.5000 0.5000 0.7323 x1  4 Er 3.05, 4 Sm 3.15, 1 Pd 3.28
Pd: 0.5000 0.5000 0.2660 x1  4 Er 2.98, 4 Sm 3.15, 1 Zn 3.28

Summary:
ΔE_f, eV/atom: -0.607


# 8
Computed, not measured: a geometry-optimized Pr12Sb3O5 structure at the PBE level of DFT.

Cell lengths 16.3017, 16.3017, 16.3017 Å; angles 90.00, 90.00, 90.00 degrees
Last column: nearest neighbours and their distance in Å.
Space group Ia-3d (No. 230)
Inequivalent atoms, fractional coordinates:
Pr: 0.0388 0.0496 0.6478 x96  1 O 2.32
Sb: 0.0000 0.2500 0.1250 x24  8 Pr 3.25-3.35
O: 0.0000 0.0000 0.0000 x16  6 Pr 2.62
O: 0.0000 0.2500 0.3750 x24  4 Pr 2.32

Summary:
Formation energy without anion corrections, meV per atom: -1652


# 9
Computed, not measured: a geometry-optimized Ga2SnO structure at the PBE level of DFT.

Cell lengths 5.3947, 5.3947, 11.0896 Å; angles 90.00, 90.00, 90.00 degrees
Last column: nearest neighbours and their distance in Å.
Space group I-42d (No. 122)
Inequivalent atoms, fractional coordinates:
Ga: 0.1571 0.2500 0.1250 x8  2 O 2.11
Sn: 0.0000 0.0000 0.5000 x4  4 Ga 2.68
O: 0.0000 0.0000 0.0000 x4  4 Ga 2.11

Summary:
Formation energy without anion corrections, meV per atom: -462


# 10
Computed, not measured: a geometry-optimized TeRuSe2 structure at the PBE level of DFT.

Cell lengths 3.8660, 5.0067, 9.1830 Å; angles 90.00, 90.00, 90.00 degrees
Last column: nearest neighbours and their distance in Å.
Space group Amm2 (No. 38)
Inequivalent atoms, fractional coordinates:
Te: 0.0000 0.0000 0.0000 x2  2 Ru 2.64, 2 Se 2.77
Ru: 0.5000 0.0000 0.1962 x2  4 Se 2.51-2.52, 2 Te 2.64
Se: 0.0000 0.0000 0.3714 x2  2 Ru 2.51, 2 Te 2.77
Se: 0.5000 0.0000 0.7261 x2  2 Ru 2.52

Summary:
Formation energy without anion corrections, meV per atom: -68


# 11
Computed, not measured: a geometry-optimized Tl2FeRh structure at the PBE level of DFT.

Cell lengths 4.7996, 4.7996, 3.1694 Å; angles 90.00, 90.00, 90.00 degrees
Last column: nearest neighbours and their distance in Å.
Space group P4/mmm (No. 123)
Inequivalent atoms, fractional coordinates:
Tl: 0.0000 0.5000 0.0000 x2  4 Fe 2.88, 4 Rh 2.88, 2 Tl 3.17
Fe: 0.0000 0.0000 0.5000 x1  8 Tl 2.88, 2 Fe 3.17
Rh: 0.5000 0.5000 0.5000 x1  8 Tl 2.88, 2 Rh 3.17

Summary:
ΔE_f, eV/atom: 0.413


# 12
Computed, not measured: a geometry-optimized CaScSbH structure at the PBE level of DFT.

Cell lengths 4.4314, 4.4314, 8.7448 Å; angles 90.00, 90.00, 90.00 degrees
Last column: nearest neighbours and their distance in Å.
Space group P4/nmm (No. 129, origin choice 2)
Inequivalent atoms, fractional coordinates:
Ca: 0.2500 0.2500 0.1172 x2  4 H 2.44
Sc: 0.2500 0.7500 0.5000 x2  4 Sb 2.91, 4 Sc 3.13
Sb: 0.2500 0.2500 0.7156 x2  4 Sc 2.91
H: 0.2500 0.7500 0.0000 x2  4 Ca 2.44


# 13
Computed, not measured: a geometry-optimized BaTl4Sb2 structure at the PBE level of DFT.

Cell lengths 4.8628, 20.9164, 4.7986 Å; angles 90.00, 90.00, 90.00 degrees
Last column: nearest neighbours and their distance in Å.
Space group Cmmm (No. 65)
Inequivalent atoms, fractional coordinates:
Ba: 0.0000 0.0000 0.0000 x2  8 Sb 3.72
Tl: 0.0000 0.1762 0.5000 x4  2 Sb 3.28, 4 Tl 3.42
Tl: 0.0000 0.3208 0.0000 x4  2 Sb 3.30, 4 Tl 3.42
Sb: 0.0000 0.4293 0.5000 x4  1 Sb 2.96, 4 Tl 3.28-3.30

Summary:
Formation energy without anion corrections, meV per atom: -314


# 14
Computed, not measured: a geometry-optimized TeCl3 structure at the PBE level of DFT.

Cell lengths 4.4159, 4.4159, 4.4159 Å; angles 90.00, 90.00, 90.00 degrees
Last column: nearest neighbours and their distance in Å.
Space group Pm-3m (No. 221)
Inequivalent atoms, fractional coordinates:
Te: 0.0000 0.0000 0.0000 x1  12 Cl 3.12
Cl: 0.0000 0.5000 0.5000 x3  8 Cl 3.12, 4 Te 3.12

Summary:
Formation energy without anion corrections, meV per atom: 283


# 15
Computed, not measured: a geometry-optimized Y2TlC structure at the PBE level of DFT.

Cell lengths 3.6350, 3.6350, 24.3230 Å; angles 90.00, 90.00, 120.00 degrees
Last column: nearest neighbours and their distance in Å.
Space group R-3m (No. 166, hexagonal axes)
Inequivalent atoms, fractional coordinates:
Y: 0.0000 0.0000 0.2222 x6  3 C 2.50
Tl: 0.0000 0.0000 0.0000 x3  6 Y 3.42, 6 Tl 3.64
C: 0.0000 0.0000 0.5000 x3  6 Y 2.50

Summary:
ΔE_f, eV/atom: -0.392


# 16
Computed, not measured: a geometry-optimized CrGa2Cl6 structure at the PBE level of DFT.

Cell lengths 11.9864, 13.5516, 5.8044 Å; angles 90.00, 91.37, 90.00 degrees
Last column: nearest neighbours and their distance in Å.
Space group C2/c (No. 15)
Inequivalent atoms, fractional coordinates:
Cr: 0.0000 0.0690 0.2500 x4  6 Cl 2.33-2.37
Ga: 0.1109 0.3752 0.5094 x8  3 Cl 2.57-2.63
Cl: 0.1017 0.3912 0.9600 x8  2 Ga 2.57-2.63
Cl: 0.1099 0.0573 0.9254 x8  2 Cr 2.33-2.37
Cl: 0.1241 0.1868 0.4060 x8  1 Cr 2.35, 1 Ga 2.63

Summary:
Formation energy without anion corrections, meV per atom: -836


Ordered D(E_F) results: 3.73; 5.10; 31.86; 13.73; 22.93; 6.56; 3.00; 119.44; 2.35; 5.28; 2.94; 4.40; 6.31; 4.70; 9.99; 14.92; unit states/eV/cell.
Ordered total DFT energy (no corrections) results: -59.09; -22.47; -18.13; -23.53; -41.10; -31.64; -18.18; -127.55; -16.86; -19.66; -18.89; -18.61; -21.83; -7.55; -26.09; -34.28; unit eV per formula unit.